[1]
Material: LiSmAu4
Method: DFT, PBE-GGA
State: relaxed

## Properties
Formation enthalpy at 0 K ... -0.46 eV/atom
Symmetry ... No. 65
Energy relative to the lowest polymorph listed for this composition ... 9.4 kJ/mol of atoms

Cell: 4.3758 4.3758 7.1893 Å, 90.00 90.00 102.21°
Last column: nearest neighbours and their distance in Å.
Fractional positions:
Li (0.0000, 0.0000, 0.0000)  8 Au 2.66
Sm (0.5000, 0.5000, 0.5000)  8 Au 3.02
Au (0.0000, 0.5000, 0.2106)  2 Li 2.66, 2 Au 2.75
Au (0.0000, 0.5000, 0.7894)  2 Li 2.66, 2 Au 2.75
Au (0.5000, 0.0000, 0.2106)  2 Li 2.66, 2 Au 2.75
Au (0.5000, 0.0000, 0.7894)  2 Li 2.66, 2 Au 2.75

***

[2]
Material: SrUO4
Method: DFT, PBE-GGA
State: relaxed

## Properties
Raw formation energy ... -19.22 eV per formula unit
Symmetry ... No. 12

Cell: 3.9427 3.9427 6.6490 Å, 107.24 107.24 60.10°
Last column: nearest neighbours and their distance in Å.
Fractional positions:
Sr (0.0000, 0.0000, 0.0000)  8 O 2.54-2.64
U (0.5000, 0.5000, 0.5000)  2 O 1.99
O (0.1409, 0.1409, 0.4221)  3 U 2.33, 3 O 2.48
O (0.3942, 0.3942, 0.1815)  1 U 1.99
O (0.6058, 0.6058, 0.8185)  1 U 1.99
O (0.8591, 0.8591, 0.5779)  3 U 2.33, 3 O 2.48

***

[3]
Material: Ce2IrOs3
Method: DFT, PBE-GGA
State: relaxed

## Properties
Formation enthalpy at 0 K ... -0.37 eV/atom
Symmetry ... No. 12

Cell: 5.2977 5.2977 5.4991 Å, 118.79 118.79 60.08°
Last column: nearest neighbours and their distance in Å.
Fractional positions:
Ce (0.1234, 0.1234, 0.3704)  3 Ir 3.11-3.12, 9 Os 3.14-3.26, 4 Ce 3.28-3.39
Ce (0.8766, 0.8766, 0.6296)  3 Ir 3.11-3.12, 9 Os 3.14-3.26, 4 Ce 3.28-3.39
Ir (0.5000, 0.5000, 0.5000)  6 Os 2.75
Os (0.0000, 0.5000, 0.0000)  4 Os 2.65, 2 Ir 2.75
Os (0.5000, 0.0000, 0.0000)  4 Os 2.65, 2 Ir 2.75
Os (0.5000, 0.5000, 0.0000)  4 Os 2.65, 2 Ir 2.75

***

[4]
Material: Pr2MoC2
Method: DFT, PBE-GGA
State: relaxed

## Properties
Formation enthalpy at 0 K ... -0.01 eV/atom
Symmetry ... No. 14
Energy relative to the lowest polymorph listed for this composition ... 13.7 kJ/mol of atoms

Cell: 8.3028 6.5205 6.7166 Å, 90.00 100.31 90.00°
Last column: nearest neighbours and their distance in Å.
Fractional positions:
Pr (0.0657, 0.2278, 0.0423)  3 C 2.59-2.84
Pr (0.0657, 0.2722, 0.5423)  3 C 2.59-2.84
Pr (0.3168, 0.6057, 0.8870)  4 C 2.60-2.89
Pr (0.3168, 0.8943, 0.3870)  4 C 2.60-2.89
Pr (0.6832, 0.1057, 0.6130)  4 C 2.60-2.89
Pr (0.6832, 0.3943, 0.1130)  4 C 2.60-2.89
Pr (0.9343, 0.7278, 0.4577)  3 C 2.59-2.84
Pr (0.9343, 0.7722, 0.9577)  3 C 2.59-2.84
Mo (0.3818, 0.0831, 0.8462)  3 C 2.02-2.11
Mo (0.3818, 0.4169, 0.3462)  3 C 2.02-2.11
Mo (0.6182, 0.5831, 0.6538)  3 C 2.02-2.11
Mo (0.6182, 0.9169, 0.1538)  3 C 2.02-2.11
C (0.1663, 0.5572, 0.2408)  1 Mo 2.02
C (0.1663, 0.9428, 0.7408)  1 Mo 2.02
C (0.4262, 0.1802, 0.1477)  3 Mo 2.09-2.34
C (0.4262, 0.3198, 0.6477)  3 Mo 2.09-2.34
C (0.5738, 0.6802, 0.3523)  3 Mo 2.09-2.34
C (0.5738, 0.8198, 0.8523)  3 Mo 2.09-2.34
C (0.8337, 0.0572, 0.2592)  1 Mo 2.02
C (0.8337, 0.4428, 0.7592)  1 Mo 2.02

***

[5]
Material: DyTm4Co
Method: DFT, PBE-GGA
State: relaxed

## Properties
Formation enthalpy at 0 K ... -0.06 eV/atom
Symmetry ... No. 12

Cell: 6.1392 6.1392 8.2080 Å, 110.14 110.14 33.17°
Last column: nearest neighbours and their distance in Å.
Fractional positions:
Dy (0.0000, 0.0000, 0.0000)  10 Tm 3.40-3.65, 2 Dy 3.50
Tm (0.3310, 0.3310, 0.2093)  2 Co 3.05, 2 Tm 3.25
Tm (0.3729, 0.3729, 0.6224)  2 Co 2.72
Tm (0.6271, 0.6271, 0.3776)  2 Co 2.72
Tm (0.6690, 0.6690, 0.7907)  2 Co 3.05, 2 Tm 3.25
Co (0.0000, 0.0000, 0.5000)  4 Tm 2.72

***

[6]
Material: ScGaReAs2
Method: DFT, PBE-GGA
State: relaxed

## Properties
Formation enthalpy at 0 K ... 0.36 eV/atom
Symmetry ... No. 123

Cell: 4.8352 4.8352 4.8417 Å, 90.00 90.00 90.00°
Last column: nearest neighbours and their distance in Å.
Fractional positions:
Sc (0.0000, 0.0000, 0.0000)  4 Ga 3.42, 8 As 3.42
Ga (0.5000, 0.5000, 0.0000)  2 Re 2.42
Re (0.5000, 0.5000, 0.5000)  4 As 2.42, 2 Ga 2.42
As (0.0000, 0.5000, 0.5000)  2 Re 2.42
As (0.5000, 0.0000, 0.5000)  2 Re 2.42

***

[7]
Material: CuGePtRh
Method: DFT, PBE-GGA
State: relaxed

## Properties
Formation enthalpy at 0 K ... -0.29 eV/atom
Symmetry ... No. 216

Cell: 4.3037 4.3037 4.3037 Å, 60.00 60.00 60.00°
Last column: nearest neighbours and their distance in Å.
Fractional positions:
Cu (0.0000, 0.0000, 0.0000)  4 Rh 2.64, 4 Pt 2.64
Ge (0.5000, 0.5000, 0.5000)  4 Rh 2.64, 4 Pt 2.64
Pt (0.2500, 0.2500, 0.2500)  4 Ge 2.64, 4 Cu 2.64
Rh (0.7500, 0.7500, 0.7500)  4 Cu 2.64, 4 Ge 2.64

***

[8]
Material: Er8Zn2Ir
Method: DFT, PBE-GGA
State: relaxed

## Properties
Formation enthalpy at 0 K ... -0.23 eV/atom
Symmetry ... No. 8
Energy relative to the lowest polymorph listed for this composition ... 7.2 kJ/mol of atoms

Cell: 8.6700 8.6700 6.0616 Å, 103.63 103.63 128.81°
Last column: nearest neighbours and their distance in Å.
Fractional positions:
Er (0.0000, 0.0000, 0.0000)  1 Ir 2.66
Er (0.1194, 0.8823, 0.5242)  1 Ir 2.75, 2 Zn 2.91-3.05
Er (0.3420, 0.5718, 0.1740)  1 Ir 2.77, 2 Zn 2.96-3.10
Er (0.4396, 0.4396, 0.6402)  1 Ir 2.67
Er (0.5331, 0.9204, 0.8639)  4 Zn 3.24-3.40, 5 Er 3.45-3.56, 1 Ir 3.50
Er (0.5718, 0.3420, 0.1740)  1 Ir 2.77, 2 Zn 2.96-3.10
Er (0.8823, 0.1194, 0.5242)  1 Ir 2.75, 2 Zn 2.91-3.05
Er (0.9204, 0.5331, 0.8639)  4 Zn 3.24-3.40, 5 Er 3.45-3.56, 1 Ir 3.50
Zn (0.0089, 0.4488, 0.3509)  5 Er 2.91-3.24
Zn (0.4488, 0.0089, 0.3509)  5 Er 2.91-3.24
Ir (0.7310, 0.7310, 0.1567)  6 Er 2.66-2.77

***

Number 1: magnetic moment 0.000 μB per formula unit. Number 2: magnetic moment 0.000 μB per formula unit. Number 3: magnetic moment 0.000 μB per formula unit. Number 4: magnetic moment 0.000 μB per formula unit. Number 5: magnetic moment 0.000 μB per formula unit. Number 6: magnetic moment 0.000 μB per formula unit. Number 7: magnetic moment 0.000 μB per formula unit. Number 8: magnetic moment 0.000 μB per formula unit.